1.
A relaxed structure of Tl2InHg. Source: Alexandria, functional PBE.

```
Tl2InHg
1.0
6.055 0.342 -0.204
-2.422 5.560 -0.204
0.499 0.810 3.299
Tl Hg In
2 1 1
Direct
0.000 0.000 0.000
0.500 0.500 0.000
0.500 0.000 0.500
0.000 0.500 0.500
```

Values from the calculation:
* symmetry: No. 12
* E above lowest polymorph: 16 meV/atom
* ΔE_f: 0.016 eV per atom
* E_tot: -1.927 eV/atom
* size of the total moment: 0.00 μB per cell

---

2.
A relaxed structure of Tl4In3Hg. Source: Alexandria, functional PBE.

```
Tl4In3Hg
1.0
4.659 0.000 0.000
0.000 4.639 0.526
-2.329 1.076 10.726
Tl In Hg
4 3 1
Direct
0.378 0.620 0.755
0.622 0.380 0.245
0.750 0.750 0.500
0.250 0.250 0.500
0.000 0.500 0.000
0.116 0.885 0.231
0.884 0.115 0.769
0.500 0.000 0.000
```

Values from the calculation:
* symmetry: No. 12
* ΔE_f: 0.026 eV per atom
* E_tot: -2.221 eV/atom
* size of the total moment: 0.00 μB per cell